Entry 1:
# Sr2SbO

A crystal of Sr2SbO relaxed with PBEsol (meta-GGA SCAN, Alexandria).

a = 6.698 Å, b = 6.698 Å, c = 6.698 Å
α = 101.30°, β = 113.70°, γ = 113.70°
Last column: magnetic moment on the atom in μB.
Sites, in units of the cell vectors:
1 Sr 0.895 0.520 0.125  0.02
2 Sr 0.105 0.230 0.625  0.02
3 Sr 0.395 0.875 0.770  0.02
4 Sr 0.605 0.375 0.480  0.02
5 Sb 0.500 0.750 0.250  0.35
6 Sb 0.000 0.000 0.000  0.35
7 O 0.000 0.500 0.500  0.02
8 O 0.500 0.250 0.750  0.02

## Properties
Its space group is I-42d (122). The value obtained for the energy is -190.33 eV for the cell shown. As for the crystal system: tetragonal.

---

Entry 2:
# SrSb3O

A crystal of SrSb3O relaxed with PBEsol (meta-GGA SCAN, Alexandria).

a = 5.911 Å, b = 5.911 Å, c = 5.911 Å
α = 90.00°, β = 90.00°, γ = 90.00°
Last column: magnetic moment on the atom in μB.
Sites, in units of the cell vectors:
1 O 0.500 0.500 0.500  1.38
2 Sb 0.000 0.500 0.000  0.02
3 Sb 0.500 0.000 0.000  0.02
4 Sb 0.000 0.000 0.500  0.02
5 Sr 0.000 0.000 0.000  0.00

## Properties
Its space group is Pm-3m (221). The value obtained for the energy is -133.34 eV for the cell shown. As for the crystal system: cubic.

---

Entry 3:
# Sr2TbSbO6

A crystal of Sr2TbSbO6 relaxed with PBEsol (meta-GGA SCAN, Alexandria).

a = 5.885 Å, b = 5.885 Å, c = 5.885 Å
α = 60.00°, β = 60.00°, γ = 60.00°
Sites, in units of the cell vectors:
1 O 0.737 0.263 0.737
2 O 0.263 0.737 0.737
3 O 0.263 0.737 0.263
4 O 0.263 0.263 0.737
5 O 0.737 0.263 0.263
6 O 0.737 0.737 0.263
7 Sr 0.250 0.250 0.250
8 Sr 0.750 0.750 0.750
9 Sb 0.500 0.500 0.500
10 Tb 0.000 0.000 0.000

## Properties
Its space group is Fm-3m (225). The value obtained for the energy is -195.02 eV for the cell shown. As for the crystal system: cubic.

---

Entry 4:
# TaSbO3

A crystal of TaSbO3 relaxed with PBEsol (meta-GGA SCAN, Alexandria).

a = 4.029 Å, b = 4.029 Å, c = 4.029 Å
α = 90.00°, β = 90.00°, γ = 90.00°
Sites, in units of the cell vectors:
1 O 0.000 0.000 0.500
2 O 0.500 0.000 0.000
3 O 0.000 0.500 0.000
4 Ta 0.000 0.000 0.000
5 Sb 0.500 0.500 0.500

## Properties
Its space group is Pm-3m (221). The value obtained for the energy is -130.99 eV for the cell shown. As for the crystal system: cubic.

---

Entry 5:
# TaSb3O8

A crystal of TaSb3O8 relaxed with PBEsol (meta-GGA SCAN, Alexandria).

a = 4.883 Å, b = 5.508 Å, c = 23.554 Å
α = 89.94°, β = 89.99°, γ = 90.07°
Sites, in units of the cell vectors:
1 O 0.291 0.918 0.102
2 O 0.212 0.142 0.795
3 O 0.799 0.574 0.851
4 O 0.659 0.315 0.244
5 O 0.832 0.150 0.152
6 O 0.293 0.925 0.601
7 O 0.727 0.374 0.547
8 O 0.663 0.314 0.746
9 O 0.205 0.150 0.292
10 O 0.700 0.076 0.352
11 O 0.161 0.185 0.996
12 O 0.841 0.814 0.745
13 O 0.331 0.684 0.496
14 O 0.667 0.652 0.151
15 O 0.335 0.347 0.902
16 O 0.201 0.422 0.101
17 O 0.669 0.653 0.651
18 O 0.171 0.184 0.496
19 O 0.784 0.859 0.045
20 O 0.710 0.357 0.047
21 O 0.802 0.575 0.352
22 O 0.775 0.873 0.546
23 O 0.208 0.425 0.601
24 O 0.290 0.642 0.798
25 O 0.705 0.078 0.852
26 O 0.162 0.846 0.401
27 O 0.339 0.346 0.401
28 O 0.831 0.154 0.651
29 O 0.298 0.651 0.293
30 O 0.334 0.684 0.996
31 O 0.164 0.848 0.902
32 O 0.841 0.814 0.245
33 Sb 0.542 0.976 0.698
34 Sb 0.461 0.022 0.948
35 Sb 0.001 0.131 0.073
36 Sb 0.960 0.474 0.697
37 Sb 0.963 0.477 0.197
38 Sb 0.038 0.518 0.447
39 Sb 0.997 0.867 0.823
40 Sb 0.501 0.368 0.322
41 Sb 0.037 0.521 0.947
42 Sb 0.535 0.973 0.198
43 Sb 0.001 0.868 0.322
44 Sb 0.464 0.019 0.447
45 Ta 0.006 0.128 0.572
46 Ta 0.500 0.631 0.072
47 Ta 0.497 0.628 0.572
48 Ta 0.498 0.366 0.822

## Properties
Its space group is P1 (1). The value obtained for the energy is -1006.02 eV for the cell shown. As for the crystal system: triclinic.

---

Entry 6:
# TcSbO3

A crystal of TcSbO3 relaxed with PBEsol (meta-GGA SCAN, Alexandria).

a = 3.911 Å, b = 3.911 Å, c = 3.911 Å
α = 90.00°, β = 90.00°, γ = 90.00°
Last column: magnetic moment on the atom in μB.
Sites, in units of the cell vectors:
1 Tc 0.000 0.000 0.000  -1.78
2 O 0.000 0.500 0.000  -0.09
3 O 0.500 0.000 0.000  -0.09
4 O 0.000 0.000 0.500  -0.09
5 Sb 0.500 0.500 0.500  -0.17

## Properties
Its space group is Pm-3m (221). The value obtained for the energy is -95.47 eV for the cell shown. As for the crystal system: cubic.

---

Entry 7:
# Tc2Sb2O

A crystal of Tc2Sb2O relaxed with PBEsol (meta-GGA SCAN, Alexandria).

a = 4.915 Å, b = 4.915 Å, c = 4.915 Å
α = 102.69°, β = 112.96°, γ = 112.96°
Last column: magnetic moment on the atom in μB.
Sites, in units of the cell vectors:
1 O 0.000 0.000 0.000  -0.01
2 Sb 0.500 0.250 0.750  0.01
3 Sb 0.500 0.750 0.250  0.01
4 Tc 0.000 0.682 0.682  0.43
5 Tc 0.000 0.318 0.318  0.43

## Properties
Its space group is I4/mmm (139). The value obtained for the energy is -150.58 eV for the cell shown. As for the crystal system: tetragonal.

---

Entry 8:
# SbTe2O

A crystal of SbTe2O relaxed with PBEsol (meta-GGA SCAN, Alexandria).

a = 3.955 Å, b = 3.955 Å, c = 8.417 Å
α = 76.41°, β = 76.41°, γ = 60.00°
Sites, in units of the cell vectors:
1 O 0.000 0.000 0.000
2 Te 0.083 0.083 0.751
3 Te 0.917 0.917 0.249
4 Sb 0.500 0.500 0.500

## Properties
Its space group is R-3m (166). Its energy relative to the lowest polymorph listed for this composition is 0.000 eV per atom. As for the crystal system: trigonal.

---

Entry 9:
# SbTeO2

A crystal of SbTeO2 relaxed with PBEsol (meta-GGA SCAN, Alexandria).

a = 4.358 Å, b = 4.358 Å, c = 4.358 Å
α = 60.00°, β = 60.00°, γ = 60.00°
Sites, in units of the cell vectors:
1 Te 0.500 0.500 0.500
2 Sb 0.000 0.000 0.000
3 O 0.250 0.250 0.250
4 O 0.750 0.750 0.750

## Properties
Its space group is Fm-3m (225). The value obtained for the energy is -86.14 eV for the cell shown. As for the crystal system: cubic.

---

Entry 10:
# SbTe2O

A crystal of SbTe2O relaxed with PBEsol (meta-GGA SCAN, Alexandria).

a = 3.210 Å, b = 3.210 Å, c = 9.798 Å
α = 80.57°, β = 80.57°, γ = 60.00°
Sites, in units of the cell vectors:
1 Sb 0.000 0.000 0.000
2 O 0.500 0.500 0.500
3 Te 0.105 0.105 0.684
4 Te 0.895 0.895 0.316

## Properties
Its space group is R-3m (166). Its energy relative to the lowest polymorph listed for this composition is 0.168 eV per atom. As for the crystal system: trigonal.

---

Entry 11:
# Sb2Te2O9

A crystal of Sb2Te2O9 relaxed with PBEsol (meta-GGA SCAN, Alexandria).

a = 4.869 Å, b = 14.550 Å, c = 22.099 Å
α = 109.80°, β = 90.00°, γ = 90.00°
Sites, in units of the cell vectors:
1 O 0.365 0.208 0.294
2 O 0.407 0.354 0.427
3 O 0.909 0.792 0.991
4 O 0.048 0.354 0.595
5 O 0.483 0.128 0.883
6 O 0.008 0.799 0.527
7 O 0.087 0.473 0.382
8 O 0.114 0.414 0.003
9 O 0.889 0.411 0.490
10 O 0.907 0.146 0.573
11 O 0.587 0.027 0.618
12 O 0.960 0.480 0.767
13 O 0.460 0.020 0.233
14 O 0.079 0.075 0.790
15 O 0.011 0.958 0.093
16 O 0.386 0.914 0.003
17 O 0.093 0.854 0.427
18 O 0.511 0.542 0.907
19 O 0.950 0.108 0.212
20 O 0.452 0.854 0.595
21 O 0.032 0.111 0.684
22 O 0.591 0.292 0.991
23 O 0.017 0.628 0.883
24 O 0.468 0.611 0.684
25 O 0.135 0.708 0.294
26 O 0.901 0.261 0.365
27 O 0.433 0.909 0.875
28 O 0.409 0.708 0.009
29 O 0.611 0.911 0.490
30 O 0.579 0.425 0.210
31 O 0.401 0.239 0.635
32 O 0.532 0.389 0.316
33 O 0.389 0.089 0.510
34 O 0.886 0.586 0.997
35 O 0.492 0.299 0.527
36 O 0.035 0.333 0.261
37 O 0.517 0.872 0.117
38 O 0.540 0.980 0.767
39 O 0.865 0.292 0.706
40 O 0.430 0.248 0.102
41 O 0.067 0.409 0.875
42 O 0.413 0.973 0.382
43 O 0.983 0.372 0.117
44 O 0.913 0.527 0.618
45 O 0.930 0.252 0.898
46 O 0.099 0.739 0.635
47 O 0.599 0.761 0.365
48 O 0.421 0.575 0.790
49 O 0.091 0.208 0.009
50 O 0.548 0.146 0.405
51 O 0.450 0.392 0.788
52 O 0.933 0.591 0.125
53 O 0.535 0.167 0.739
54 O 0.965 0.667 0.739
55 O 0.465 0.833 0.261
56 O 0.070 0.748 0.102
57 O 0.567 0.091 0.125
58 O 0.989 0.042 0.907
59 O 0.952 0.646 0.405
60 O 0.508 0.701 0.473
61 O 0.040 0.520 0.233
62 O 0.921 0.925 0.210
63 O 0.593 0.646 0.573
64 O 0.570 0.752 0.898
65 O 0.489 0.458 0.093
66 O 0.968 0.889 0.316
67 O 0.614 0.086 0.997
68 O 0.635 0.792 0.706
69 O 0.550 0.608 0.212
70 O 0.111 0.589 0.510
71 O 0.050 0.892 0.788
72 O 0.992 0.201 0.473
73 Te 0.329 0.112 0.061
74 Te 0.171 0.612 0.061
75 Te 0.838 0.911 0.720
76 Te 0.333 0.948 0.557
77 Te 0.836 0.812 0.233
78 Te 0.833 0.552 0.443
79 Te 0.162 0.089 0.280
80 Te 0.164 0.188 0.767
81 Te 0.671 0.888 0.939
82 Te 0.664 0.312 0.233
83 Te 0.662 0.411 0.720
84 Te 0.829 0.388 0.939
85 Te 0.338 0.589 0.280
86 Te 0.167 0.448 0.557
87 Te 0.336 0.688 0.767
88 Te 0.667 0.052 0.443
89 Sb 0.217 0.507 0.841
90 Sb 0.783 0.164 0.945
91 Sb 0.704 0.163 0.654
92 Sb 0.707 0.279 0.447
93 Sb 0.796 0.663 0.654
94 Sb 0.717 0.664 0.945
95 Sb 0.296 0.837 0.346
96 Sb 0.204 0.337 0.346
97 Sb 0.793 0.779 0.447
98 Sb 0.783 0.493 0.159
99 Sb 0.293 0.721 0.553
100 Sb 0.207 0.221 0.553
101 Sb 0.283 0.336 0.055
102 Sb 0.717 0.993 0.159
103 Sb 0.283 0.007 0.841
104 Sb 0.217 0.836 0.055

## Properties
Its space group is P2_1/c (14). The value obtained for the energy is -1776.41 eV for the cell shown. As for the crystal system: monoclinic.

---

Entry 12:
# ZnSbTe2O

A crystal of ZnSbTe2O relaxed with PBEsol (meta-GGA SCAN, Alexandria).

a = 4.743 Å, b = 4.743 Å, c = 4.804 Å
α = 90.00°, β = 90.00°, γ = 90.00°
Sites, in units of the cell vectors:
1 O 0.000 0.000 0.000
2 Sb 0.000 0.000 0.500
3 Zn 0.500 0.500 0.500
4 Te 0.500 0.000 0.000
5 Te 0.000 0.500 0.000

## Properties
Its space group is P4/mmm (123). The value obtained for the energy is -129.97 eV for the cell shown. As for the crystal system: tetragonal.